1.
The following is a DFT calculation (PBE-GGA) of a relaxed structure of Mn2HOsRu.

Cell and atoms, written as POSCAR:
```
Mn2HOsRu
1.0
3.7517 0.0000 0.0000
0.0000 3.7517 0.0000
0.0000 0.0000 3.7648
Mn H Os Ru
2 1 1 1
Direct
0.0000 0.5000 0.0000
0.5000 0.0000 0.0000
0.0000 0.0000 0.0000
0.0000 0.0000 0.5000
0.5000 0.5000 0.5000
```

## Properties
Calculated total energy (eV per atom): -8.33
Symmetry: P4/mmm
N(E_F) (states/eV/cell): 4.13


2.
The following is a DFT calculation (PBE-GGA) of a relaxed structure of Ca2Pr4Dy5.

Cell and atoms, written as POSCAR:
```
Ca2Pr4Dy5
1.0
9.1873 0.0000 0.0000
0.0000 3.5465 0.0000
-0.1053 0.0000 11.7544
Ca Pr Dy
2 4 5
Direct
0.0474 0.0000 0.1379
0.9526 0.0000 0.8621
0.2165 0.5000 0.6688
0.3928 0.5000 0.2261
0.6072 0.5000 0.7739
0.7835 0.5000 0.3312
0.1397 0.0000 0.4140
0.3393 0.0000 0.9344
0.5000 0.0000 0.5000
0.6607 0.0000 0.0656
0.8603 0.0000 0.5860
```

## Properties
Calculated formation energy (eV per atom): 0.104
Symmetry: P2/m
N(E_F) (states/eV/cell): 15.32


3.
The following is a DFT calculation (PBE-GGA) of a relaxed structure of TlTeIr2.

Cell and atoms, written as POSCAR:
```
TlTeIr2
1.0
3.1398 0.0000 0.0000
0.0000 3.5251 0.0000
0.0000 0.0000 6.8663
Tl Te Ir
1 1 2
Direct
0.0000 0.0000 0.0000
0.0000 0.0000 0.5000
0.5000 0.5000 0.2746
0.5000 0.5000 0.7254
```

## Properties
Raw formation energy (eV per atom): 0.567
Symmetry: Pmmm
N(E_F) (states/eV/cell): 3.38


4.
The following is a DFT calculation (PBE-GGA) of a relaxed structure of ReB3Rh.

Cell and atoms, written as POSCAR:
```
ReB3Rh
1.0
3.9250 0.0000 0.0000
0.0000 3.9250 0.0000
0.0000 0.0000 3.9250
Re B Rh
1 3 1
Direct
0.0000 0.0000 0.0000
0.0000 0.5000 0.5000
0.5000 0.0000 0.5000
0.5000 0.5000 0.0000
0.5000 0.5000 0.5000
```

## Properties
Calculated formation energy (eV per atom): 1.681
Symmetry: Pm-3m
N(E_F) (states/eV/cell): 5.46


5.
The following is a DFT calculation (PBE-GGA) of a relaxed structure of GdDyCuPd.

Cell and atoms, written as POSCAR:
```
GdDyCuPd
1.0
0.0000 3.5130 3.5130
3.5130 0.0000 3.5130
3.5130 3.5130 0.0000
Gd Dy Cu Pd
1 1 1 1
Direct
0.0000 0.0000 0.0000
0.5000 0.5000 0.5000
0.2500 0.2500 0.2500
0.7500 0.7500 0.7500
```

## Properties
Calculated formation energy (eV per atom): -0.542
Symmetry: F-43m
N(E_F) (states/eV/cell): 2.69


6.
The following is a DFT calculation (PBE-GGA) of a relaxed structure of NdMnAl2.

Cell and atoms, written as POSCAR:
```
NdMnAl2
1.0
2.1527 1.2428 5.3169
-2.1527 1.2428 5.3169
0.0000 -2.4857 5.3169
Nd Mn Al
1 1 2
Direct
0.0000 0.0000 0.0000
0.5000 0.5000 0.5000
0.2084 0.2084 0.2084
0.7916 0.7916 0.7916
```

## Properties
Calculated formation energy (eV per atom): -0.200
Symmetry: R-3m
N(E_F) (states/eV/cell): 4.25


7.
The following is a DFT calculation (PBE-GGA) of a relaxed structure of LaH3Pd2.

Cell and atoms, written as POSCAR:
```
LaH3Pd2
1.0
3.7126 -4.0716 0.0000
3.7126 4.0716 0.0000
-1.1327 0.0000 5.2227
La H Pd
2 6 4
Direct
0.1981 0.8019 0.5000
0.8019 0.1981 0.0000
0.1096 0.2615 0.5162
0.2615 0.1096 0.0162
0.4328 0.6860 0.9118
0.6860 0.4328 0.4118
0.7234 0.9205 0.5202
0.9205 0.7234 0.0202
0.2830 0.3617 0.8372
0.3617 0.2830 0.3372
0.6479 0.7318 0.2110
0.7318 0.6479 0.7110
```

## Properties
Calculated total energy (eV per atom): -4.72
Symmetry: Cc


8.
The following is a DFT calculation (PBE-GGA) of a relaxed structure of CsAc2AuO4.

Cell and atoms, written as POSCAR:
```
CsAc2AuO4
1.0
2.0149 -6.9876 0.0000
2.0149 6.9876 0.0000
0.0000 0.0000 12.3265
Cs Ac Au O
2 4 2 8
Direct
0.0677 0.9323 0.7500
0.9323 0.0677 0.2500
0.3717 0.6283 0.5637
0.3717 0.6283 0.9363
0.6283 0.3717 0.0637
0.6283 0.3717 0.4363
0.2367 0.7633 0.2500
0.7633 0.2367 0.7500
0.0000 0.0000 0.0000
0.0000 0.0000 0.5000
0.2365 0.7635 0.0842
0.2365 0.7635 0.4158
0.4207 0.5793 0.7500
0.5793 0.4207 0.2500
0.7635 0.2365 0.5842
0.7635 0.2365 0.9158
```

## Properties
Raw formation energy (eV per atom): -2.238
Symmetry: Cmcm
N(E_F) (states/eV/cell): 0.00


9.
The following is a DFT calculation (PBE-GGA) of a relaxed structure of CsLiReO4.

Cell and atoms, written as POSCAR:
```
CsLiReO4
1.0
-3.1182 3.1182 4.0402
3.1182 -3.1182 4.0402
3.1182 3.1182 -4.0402
Cs Li Re O
1 1 1 4
Direct
0.0000 0.0000 0.0000
0.5000 0.5000 0.0000
0.2500 0.7500 0.5000
0.2857 0.6076 0.1852
0.3924 0.5776 0.6782
0.4224 0.1006 0.8148
0.8994 0.7143 0.3218
```

## Properties
Raw formation energy (eV per atom): -1.753
Symmetry: I-4


10.
The following is a DFT calculation (PBE-GGA) of a relaxed structure of NaTl2Pb2.

Cell and atoms, written as POSCAR:
```
NaTl2Pb2
1.0
5.3792 -2.4914 0.0000
5.3792 2.4914 0.0000
-5.1897 0.0000 5.5787
Na Tl Pb
1 2 2
Direct
0.0000 0.0000 0.0000
0.4003 0.4003 0.1978
0.5997 0.5997 0.8022
0.1981 0.1981 0.5934
0.8019 0.8019 0.4066
```

## Properties
Calculated formation energy (eV per atom): -0.083
Symmetry: C2/m
N(E_F) (states/eV/cell): 1.81


11.
The following is a DFT calculation (PBE-GGA) of a relaxed structure of La2SnSbPt.

Cell and atoms, written as POSCAR:
```
La2SnSbPt
1.0
6.0101 0.0000 0.0000
0.0000 6.0101 0.0000
0.0000 0.0000 4.9008
La Sn Sb Pt
2 1 1 1
Direct
0.0000 0.5000 0.0000
0.5000 0.0000 0.0000
0.0000 0.0000 0.5000
0.5000 0.5000 0.0000
0.5000 0.5000 0.5000
```

## Properties
Raw formation energy (eV per atom): -0.226
Symmetry: P4/mmm
N(E_F) (states/eV/cell): 5.64


12.
The following is a DFT calculation (PBE-GGA) of a relaxed structure of Hf3Rh5.

Cell and atoms, written as POSCAR:
```
Hf3Rh5
1.0
3.6120 -4.2602 0.0000
3.6120 4.2602 0.0000
0.0000 0.0000 4.2684
Hf Rh
3 5
Direct
0.0000 0.0000 0.0000
0.2928 0.7072 0.5000
0.7072 0.2928 0.5000
0.0000 0.5000 0.0000
0.2145 0.2145 0.5000
0.5000 0.0000 0.0000
0.5000 0.5000 0.0000
0.7855 0.7855 0.5000
```

## Properties
Calculated formation energy (eV per atom): -0.916
Symmetry: Cmmm
N(E_F) (states/eV/cell): 3.79


no.,magnetization (μB/cell)
1,1.821
2,0.000
3,0.000
4,0.000
5,7.136
6,2.989
7,0.000
8,0.000
9,1.000
10,0.000
11,0.000
12,0.000